# 1
{"formula": "PrTlPb", "functional": "PBE", "state": "optimized geometry", "lattice": [[3.621, -1.784, 3.441], [2.890, 3.433, 2.827], [-0.826, 0.497, 5.215]], "species": ["Pb", "Pr", "Tl"], "frac_coords": [[0.250, 0.250, 0.250], [0.000, 0.000, 0.000], [0.750, 0.750, 0.750]], "m_tot_mub_per_cell": 0.00, "polymorph_energy_mev_per_atom": 0, "mass_density_g_cm3": 8.70}

***

# 2
{"formula": "TlZnCuTc", "functional": "PBE", "state": "optimized geometry", "lattice": [[0.000, 3.179, 3.179], [3.179, 0.000, 3.179], [3.179, 3.179, 0.000]], "species": ["Cu", "Tc", "Tl", "Zn"], "frac_coords": [[0.750, 0.750, 0.750], [0.250, 0.250, 0.250], [0.000, 0.000, 0.000], [0.500, 0.500, 0.500]], "m_tot_mub_per_cell": 0.00, "polymorph_energy_mev_per_atom": 0, "mass_density_g_cm3": 11.15}

***

# 3
{"formula": "K2TaH6O6", "functional": "PBE", "state": "optimized geometry", "lattice": [[3.253, 1.878, 4.103], [-3.253, 1.878, 4.103], [0.000, -3.756, 4.103]], "species": ["H", "H", "H", "H", "H", "H", "K", "K", "O", "O", "O", "O", "O", "O", "Ta"], "frac_coords": [[0.764, 0.602, 0.194], [0.398, 0.806, 0.236], [0.806, 0.236, 0.398], [0.194, 0.764, 0.602], [0.602, 0.194, 0.764], [0.236, 0.398, 0.806], [0.294, 0.294, 0.294], [0.706, 0.706, 0.706], [0.716, 0.793, 0.194], [0.806, 0.284, 0.207], [0.207, 0.806, 0.284], [0.793, 0.194, 0.716], [0.194, 0.716, 0.793], [0.284, 0.207, 0.806], [0.000, 0.000, 0.000]], "m_tot_mub_per_cell": 1.00, "dft_energy_ev_per_cell": -85.981, "mass_density_g_cm3": 3.99}

***

# 4
{"formula": "SrTmAuSe3", "functional": "PBE", "state": "optimized geometry", "lattice": [[7.971, 0.000, 0.000], [0.000, 4.099, 0.000], [-2.643, 0.000, 9.429]], "species": ["Au", "Au", "Se", "Se", "Se", "Se", "Se", "Se", "Sr", "Sr", "Tm", "Tm"], "frac_coords": [[0.608, 0.250, 0.094], [0.392, 0.750, 0.906], [0.800, 0.750, 0.039], [0.571, 0.250, 0.351], [0.072, 0.250, 0.363], [0.928, 0.750, 0.637], [0.429, 0.750, 0.649], [0.200, 0.250, 0.961], [0.267, 0.750, 0.219], [0.733, 0.250, 0.781], [0.815, 0.750, 0.335], [0.185, 0.250, 0.665]], "m_tot_mub_per_cell": 0.00, "dft_energy_ev_per_cell": -57.347, "mass_density_g_cm3": 7.44}

***

# 5
{"formula": "TcOs2Pd", "functional": "PBE", "state": "optimized geometry", "lattice": [[2.191, 1.265, 3.578], [-2.191, 1.265, 3.578], [0.000, -2.530, 3.578]], "species": ["Os", "Os", "Pd", "Tc"], "frac_coords": [[0.500, 0.500, 0.500], [0.750, 0.750, 0.750], [0.250, 0.250, 0.250], [0.000, 0.000, 0.000]], "m_tot_mub_per_cell": 0.12, "ef_ev_per_atom": 0.583, "mass_density_g_cm3": 16.32}

***

# 6
{"formula": "TlFeCoPd", "functional": "PBE", "state": "optimized geometry", "lattice": [[-3.375, -2.197, -1.856], [-3.854, 2.066, -0.734], [-1.252, 0.951, -4.146]], "species": ["Co", "Fe", "Pd", "Tl"], "frac_coords": [[0.750, 0.750, 0.750], [0.500, 0.500, 0.500], [0.250, 0.250, 0.250], [0.000, 0.000, 0.000]], "m_tot_mub_per_cell": 4.66, "polymorph_energy_mev_per_atom": 0, "mass_density_g_cm3": 11.46}

***

# 7
{"formula": "TbHoSi2Os", "functional": "PBE", "state": "optimized geometry", "lattice": [[5.355, -2.113, 0.000], [5.355, 2.113, 0.000], [-4.882, 0.000, 8.741]], "species": ["Ho", "Ho", "Os", "Os", "Si", "Si", "Si", "Si", "Tb", "Tb"], "frac_coords": [[0.815, 0.815, 0.389], [0.185, 0.185, 0.611], [0.271, 0.271, 0.127], [0.729, 0.729, 0.873], [0.645, 0.645, 0.061], [0.502, 0.502, 0.376], [0.498, 0.498, 0.624], [0.355, 0.355, 0.939], [0.009, 0.009, 0.179], [0.991, 0.991, 0.821]], "m_tot_mub_per_cell": 0.18, "polymorph_energy_mev_per_atom": 8, "mass_density_g_cm3": 9.57}

***

# 8
{"formula": "SbAsP2Ir4", "functional": "PBE", "state": "optimized geometry", "lattice": [[-2.558, 2.876, 0.813], [0.328, -3.083, 2.422], [6.878, 4.693, 5.041]], "species": ["As", "Ir", "Ir", "Ir", "Ir", "P", "P", "Sb"], "frac_coords": [[0.000, 0.000, 0.000], [0.333, 0.667, 0.152], [0.000, 0.000, 0.336], [0.000, 0.000, 0.664], [0.333, 0.667, 0.848], [0.667, 0.333, 0.234], [0.667, 0.333, 0.766], [0.333, 0.667, 0.500]], "m_tot_mub_per_cell": 0.02, "dft_energy_ev_per_cell": -55.579, "mass_density_g_cm3": 13.08}

***

# 9
{"formula": "InCuTcPt", "functional": "PBE", "state": "optimized geometry", "lattice": [[-0.068, -4.488, 0.438], [-3.146, -1.968, 2.564], [-3.297, -2.404, -1.923]], "species": ["Cu", "In", "Pt", "Tc"], "frac_coords": [[0.750, 0.750, 0.750], [0.000, 0.000, 0.000], [0.250, 0.250, 0.250], [0.500, 0.500, 0.500]], "m_tot_mub_per_cell": 2.59, "polymorph_energy_mev_per_atom": 0, "mass_density_g_cm3": 12.07}

***

# 10
{"formula": "NbTc2Sn", "functional": "PBE", "state": "optimized geometry", "lattice": [[-3.212, 4.478, -3.137], [-4.351, -4.306, -1.692], [-3.456, 1.346, 5.460]], "species": ["Nb", "Nb", "Nb", "Nb", "Sn", "Sn", "Sn", "Sn", "Tc", "Tc", "Tc", "Tc", "Tc", "Tc", "Tc", "Tc"], "frac_coords": [[0.250, 0.250, 0.000], [0.750, 0.750, 0.000], [0.250, 0.250, 0.500], [0.750, 0.750, 0.500], [0.750, 0.250, 0.000], [0.250, 0.750, 0.000], [0.250, 0.750, 0.500], [0.750, 0.250, 0.500], [0.500, 0.000, 0.250], [0.500, 0.500, 0.250], [0.000, 0.000, 0.250], [0.000, 0.500, 0.250], [0.000, 0.000, 0.750], [0.000, 0.500, 0.750], [0.500, 0.000, 0.750], [0.500, 0.500, 0.750]], "m_tot_mub_per_cell": 0.29, "dft_energy_ev_per_cell": -141.161, "mass_density_g_cm3": 10.18}

***

# 11
{"formula": "GdMgZn", "functional": "PBE", "state": "optimized geometry", "lattice": [[-4.565, -4.518, 1.412], [-1.008, -4.619, -4.380], [4.969, -4.534, 3.457]], "species": ["Gd", "Gd", "Gd", "Gd", "Mg", "Mg", "Mg", "Mg", "Zn", "Zn", "Zn", "Zn"], "frac_coords": [[0.541, 0.824, 0.075], [0.040, 0.816, 0.238], [0.392, 0.671, 0.604], [0.834, 0.131, 0.791], [0.051, 0.324, 0.075], [0.570, 0.312, 0.236], [0.199, 0.189, 0.436], [0.932, 0.592, 0.719], [0.799, 0.538, 0.377], [0.654, 0.968, 0.504], [0.341, 0.153, 0.766], [0.344, 0.497, 0.941]], "m_tot_mub_per_cell": 0.05, "dft_energy_ev_per_cell": -31.200, "mass_density_g_cm3": 5.76}

***

# 12
{"formula": "SmHoHg", "functional": "PBE", "state": "optimized geometry", "lattice": [[0.000, 3.627, 3.627], [3.627, 0.000, 3.627], [3.627, 3.627, 0.000]], "species": ["Hg", "Ho", "Sm"], "frac_coords": [[0.000, 0.000, 0.000], [0.250, 0.250, 0.250], [0.750, 0.750, 0.750]], "m_tot_mub_per_cell": 0.04, "ef_ev_per_atom": -0.103, "polymorph_energy_mev_per_atom": 0, "mass_density_g_cm3": 8.98}

***

What did the first record say?
{"formula": "PrTlPb", "functional": "PBE", "state": "optimized geometry", "lattice": [[3.621, -1.784, 3.441], [2.890, 3.433, 2.827], [-0.826, 0.497, 5.215]], "species": ["Pb", "Pr", "Tl"], "frac_coords": [[0.250, 0.250, 0.250], [0.000, 0.000, 0.000], [0.750, 0.750, 0.750]], "m_tot_mub_per_cell": 0.00, "polymorph_energy_mev_per_atom": 0, "mass_density_g_cm3": 8.70}

***

Copy entry 2 word for word.
{"formula": "TlZnCuTc", "functional": "PBE", "state": "optimized geometry", "lattice": [[0.000, 3.179, 3.179], [3.179, 0.000, 3.179], [3.179, 3.179, 0.000]], "species": ["Cu", "Tc", "Tl", "Zn"], "frac_coords": [[0.750, 0.750, 0.750], [0.250, 0.250, 0.250], [0.000, 0.000, 0.000], [0.500, 0.500, 0.500]], "m_tot_mub_per_cell": 0.00, "polymorph_energy_mev_per_atom": 0, "mass_density_g_cm3": 11.15}